Record 1
# Pm8Y3Mg2 (GGA-PBE, optimized geometry)
# ΔE_f in eV/atom: 0.0089
# ρ in Mg/m³: 5.81
# Total magnetization in μB per cell: 0.00
data_Pm8Y3Mg2
_chemical_formula_sum 'Pm8 Y3 Mg2'
_symmetry_space_group_name_H-M 'P -1'
_symmetry_Int_Tables_number 2
_symmetry_space_group_name_Hall '-P 1'
_cell_length_a 6.752
_cell_length_b 8.614
_cell_length_c 8.735
_cell_angle_alpha 64.33
_cell_angle_beta 67.28
_cell_angle_gamma 77.80
loop_
_atom_site_label
_atom_site_fract_x
_atom_site_fract_y
_atom_site_fract_z
_atom_site_occupancy
Pm1 0.086 0.015 0.295 1
Pm2 0.143 0.213 0.829 1
Pm3 0.182 0.391 0.337 1
Pm4 0.240 0.590 0.848 1
Y1 0.437 0.814 0.992 1
Y2 0.500 0.000 0.500 1
Mg1 0.370 0.660 0.430 1

Record 2
# Pm4YMg2 (GGA-PBE, optimized geometry)
# ΔE_f in eV/atom: 0.2617
# ρ in Mg/m³: 4.86
# Total magnetization in μB per cell: 0.00
data_Pm4YMg2
_chemical_formula_sum 'Pm12 Y3 Mg6'
_symmetry_space_group_name_H-M 'R -3 m'
_symmetry_Int_Tables_number 166
_symmetry_space_group_name_Hall '-R 3 2"'
_cell_length_a 5.6278
_cell_length_b 5.6278
_cell_length_c 26.7930
_cell_angle_alpha 90.00
_cell_angle_beta 90.00
_cell_angle_gamma 120.00
loop_
_atom_site_label
_atom_site_fract_x
_atom_site_fract_y
_atom_site_fract_z
_atom_site_occupancy
Pm1 0.0000 0.0000 0.1302 1
Pm2 0.0000 0.0000 0.2571 1
Y1 0.0000 0.0000 0.5000 1
Mg1 0.0000 0.0000 0.3786 1